Entry 1:
! LiInGe (PBE, optimized geometry); values from VASP
! calculated formation energy: -0.101 eV per atom
! symmetry: Pnma
! total energy: -0.1173 Ha/atom
! mass density: 5.4 Mg/m³
&SYSTEM
  ibrav = 0, nat = 12, ntyp = 3
/
ATOMIC_SPECIES
Ge 72.64 Ge.upf
In 114.82 In.upf
Li 6.94 Li.upf
CELL_PARAMETERS angstrom
-0.2666 -5.3510 4.7925
3.5319 -1.4654 -1.4397
4.0946 4.5995 5.3634
ATOMIC_POSITIONS crystal
Ge 0.2371 0.2500 0.1216
In 0.5535 0.2500 0.6889
Li 0.3769 0.7500 0.9297
Li 0.1231 0.2500 0.4297
In 0.4465 0.7500 0.3111
In 0.9465 0.7500 0.1889
Ge 0.2629 0.7500 0.6216
Ge 0.7629 0.7500 0.8784
In 0.0535 0.2500 0.8111
Li 0.6231 0.2500 0.0703
Li 0.8769 0.7500 0.5703
Ge 0.7371 0.2500 0.3784


Entry 2:
! LiInGe (PBE, optimized geometry); values from VASP
! calculated formation energy: -0.135 eV per atom
! symmetry: Pmma
! total energy: -0.1185 Ha/atom
! mass density: 5.4 Mg/m³
&SYSTEM
  ibrav = 0, nat = 6, ntyp = 3
/
ATOMIC_SPECIES
Ge 72.64 Ge.upf
In 114.82 In.upf
Li 6.94 Li.upf
CELL_PARAMETERS angstrom
5.5919 0.0000 0.0000
0.0000 2.9103 0.0000
0.0000 0.0000 7.2928
ATOMIC_POSITIONS crystal
Ge 0.5000 0.5000 0.0000
In 0.7500 0.5000 0.3673
Li 0.2500 0.0000 0.2675
In 0.2500 0.5000 0.6327
Li 0.7500 0.0000 0.7325
Ge 0.0000 0.5000 0.0000


Entry 3:
! Li7In4Ge (PBE, optimized geometry); values from VASP
! calculated formation energy: -0.162 eV per atom
! symmetry: C2/m
! total energy: -0.0946 Ha/atom
! mass density: 4.0 Mg/m³
&SYSTEM
  ibrav = 0, nat = 12, ntyp = 3
/
ATOMIC_SPECIES
Li 6.94 Li.upf
In 114.82 In.upf
Ge 72.64 Ge.upf
CELL_PARAMETERS angstrom
5.0108 0.0000 0.0000
2.5054 7.6126 1.1660
2.5054 1.5329 6.4918
ATOMIC_POSITIONS crystal
Li 0.2081 0.7738 0.8101
In 0.3219 0.3726 0.9837
In 0.4259 0.7114 0.4367
In 0.5741 0.2886 0.5633
Li 0.1985 0.1210 0.4819
Li 0.5000 0.0000 0.0000
Li 0.8015 0.8790 0.5181
Li 0.9282 0.4139 0.7296
Li 0.0718 0.5861 0.2704
In 0.6781 0.6274 0.0163
Ge 0.0000 0.0000 0.0000
Li 0.7919 0.2262 0.1899


Entry 4:
! LiInGe (PBE, optimized geometry); values from VASP
! calculated formation energy: -0.074 eV per atom
! symmetry: Pm
! total energy: -0.1163 Ha/atom
! mass density: 5.3 Mg/m³
&SYSTEM
  ibrav = 0, nat = 6, ntyp = 3
/
ATOMIC_SPECIES
In 114.82 In.upf
Ge 72.64 Ge.upf
Li 6.94 Li.upf
CELL_PARAMETERS angstrom
4.4478 0.0000 -0.0469
0.0000 4.0863 0.0000
-2.2122 0.0000 6.7065
ATOMIC_POSITIONS crystal
In 0.2781 0.5000 0.6448
Ge 0.9362 0.5000 0.9515
Ge 0.0707 0.0000 0.2362
In 0.6066 0.5000 0.3017
Li 0.7782 0.0000 0.6440
Li 0.4380 0.0000 0.9677


Entry 5:
! LiInGe (PBE, optimized geometry); values from VASP
! calculated formation energy: -0.129 eV per atom
! symmetry: Amm2
! total energy: -0.1183 Ha/atom
! mass density: 5.0 Mg/m³
&SYSTEM
  ibrav = 0, nat = 6, ntyp = 3
/
ATOMIC_SPECIES
Li 6.94 Li.upf
Ge 72.64 Ge.upf
In 114.82 In.upf
CELL_PARAMETERS angstrom
7.3412 0.0000 0.0000
0.0000 2.2935 -3.8417
0.0000 2.2935 3.8417
ATOMIC_POSITIONS crystal
Li 0.0000 0.7434 0.2566
Ge 0.3218 0.0602 0.9398
Li 0.5000 0.7255 0.2745
In 0.7976 0.3987 0.6013
In 0.2024 0.3987 0.6013
Ge 0.6782 0.0602 0.9398


Entry 6:
! Li8In2Ge (PBE, optimized geometry); values from VASP
! calculated formation energy: -0.281 eV per atom
! symmetry: C2/m
! total energy: -0.0952 Ha/atom
! mass density: 3.1 Mg/m³
&SYSTEM
  ibrav = 0, nat = 11, ntyp = 3
/
ATOMIC_SPECIES
In 114.82 In.upf
Li 6.94 Li.upf
Ge 72.64 Ge.upf
CELL_PARAMETERS angstrom
4.5620 0.0000 0.0000
0.0000 5.4675 0.8124
-2.2810 -1.4706 7.4720
ATOMIC_POSITIONS crystal
In 0.7852 0.3635 0.5705
Li 0.5903 0.4391 0.1806
Li 0.9657 0.2417 0.9313
Li 0.6725 0.9091 0.3451
Li 0.8608 0.8454 0.7217
Li 0.0343 0.7583 0.0687
Li 0.3275 0.0909 0.6549
In 0.2148 0.6365 0.4295
Li 0.4097 0.5609 0.8194
Li 0.1392 0.1546 0.2783
Ge 0.5000 0.0000 0.0000


Entry 7:
! Li5InGe (PBE, optimized geometry); values from VASP
! calculated formation energy: -0.173 eV per atom
! symmetry: C2/c
! total energy: -0.0952 Ha/atom
! mass density: 2.9 Mg/m³
&SYSTEM
  ibrav = 0, nat = 14, ntyp = 3
/
ATOMIC_SPECIES
Li 6.94 Li.upf
In 114.82 In.upf
Ge 72.64 Ge.upf
CELL_PARAMETERS angstrom
1.3358 -4.6866 4.8182
4.7744 -4.8709 0.6664
7.7007 0.0386 6.3761
ATOMIC_POSITIONS crystal
Li 0.7626 0.7917 0.5385
Li 0.6533 0.6513 0.3826
Li 0.2209 0.7791 0.2500
In 0.2949 0.7051 0.7500
Li 0.3487 0.3467 0.1174
Li 0.3467 0.3487 0.6174
Ge 0.0000 0.0000 0.0000
Li 0.7917 0.7626 0.0385
In 0.7051 0.2949 0.2500
Li 0.7791 0.2209 0.7500
Ge 0.0000 0.0000 0.5000
Li 0.2374 0.2083 0.4615
Li 0.2083 0.2374 0.9615
Li 0.6513 0.6533 0.8826


Entry 8:
! Li5In4Ge (PBE, optimized geometry); values from VASP
! calculated formation energy: -0.262 eV per atom
! symmetry: P4/mmm
! total energy: -0.1020 Ha/atom
! mass density: 5.0 Mg/m³
&SYSTEM
  ibrav = 0, nat = 10, ntyp = 3
/
ATOMIC_SPECIES
Li 6.94 Li.upf
In 114.82 In.upf
Ge 72.64 Ge.upf
CELL_PARAMETERS angstrom
3.3997 0.0000 0.0000
0.0000 3.3997 0.0000
0.0000 0.0000 16.3851
ATOMIC_POSITIONS crystal
Li 0.5000 0.5000 0.2961
Li 0.5000 0.5000 0.5000
Li 0.5000 0.5000 0.7039
Li 0.5000 0.5000 0.9137
Li 0.5000 0.5000 0.0863
In 0.0000 0.0000 0.6000
In 0.0000 0.0000 0.8080
In 0.0000 0.0000 0.4000
Ge 0.0000 0.0000 0.0000
In 0.0000 0.0000 0.1920